A plane-wave DFT calculation with PBE was carried out for a relaxed structure of TaCrW2.

Cell and atoms, written as extended XYZ:
```
4
Lattice="5.191 -0.005 0.003 2.305 4.651 -0.003 -3.262 -3.107 2.579" Properties=species:S:1:pos:R:3 pbc="T T T"
Cr 3.771 2.337 0.000
Ta 1.428 1.954 1.288
W 7.472 4.631 0.000
W 2.808 -0.414 1.291
```

Computed properties:
E above lowest polymorph: 32 meV/atom
ΔE_f: 0.0004 eV/atom
Spin magnetization: 0.00 μB/f.u.

=====

A plane-wave DFT calculation with PBE was carried out for a relaxed structure of LaErThTl.

Cell and atoms, written as extended XYZ:
```
4
Lattice="5.600 0.000 0.000 2.800 4.850 0.000 2.800 1.617 4.573" Properties=species:S:1:pos:R:3 pbc="T T T"
Tl 5.600 3.233 2.286
La 2.800 1.617 1.143
Th 8.401 4.850 3.430
Er 0.000 0.000 0.000
```

Computed properties:
ΔE_f: 0.0116 eV/atom
Spin magnetization: 0.00 μB/f.u.

=====

A plane-wave DFT calculation with PBE was carried out for a relaxed structure of LaPm2DyHo2.

Cell and atoms, written as extended XYZ:
```
12
Lattice="3.537 0.000 0.000 0.000 16.381 0.000 0.000 0.000 6.990" Properties=species:S:1:pos:R:3 pbc="T T T"
La 0.000 0.000 0.000
La 1.768 8.191 3.495
Pm 1.768 13.754 1.770
Pm 1.768 2.627 5.219
Pm 0.000 10.817 5.265
Pm 0.000 5.564 1.724
Dy 1.768 8.191 0.000
Dy 0.000 0.000 3.495
Ho 1.768 2.528 1.742
Ho 0.000 10.719 1.752
Ho 1.768 13.853 5.247
Ho 0.000 5.663 5.237
```

Computed properties:
ΔE_f: 0.1529 eV/atom
Spin magnetization: 0.00 μB/f.u.

=====

A plane-wave DFT calculation with PBE was carried out for a relaxed structure of Mg3Si4.

Cell and atoms, written as extended XYZ:
```
14
Lattice="-1.315 3.929 1.273 -7.067 -1.247 -3.453 -5.098 -3.374 5.148" Properties=species:S:1:pos:R:3 pbc="T T T"
Mg -4.264 0.014 2.929
Mg -4.939 -2.934 3.952
Mg -8.004 -3.691 3.123
Mg -10.982 -2.144 2.650
Mg -6.059 -2.326 0.919
Mg -2.175 1.369 0.907
Si -8.511 -0.964 1.560
Si -9.250 -3.315 0.675
Si -3.647 -1.336 0.356
Si -4.988 0.716 0.016
Si -6.889 -1.026 3.428
Si -7.272 0.033 -0.238
Si -1.924 -1.262 1.906
Si -6.839 -1.636 -2.016
```

Computed properties:
E above lowest polymorph: 12 meV/atom
Energy relative to the elements, uncorrected: 6 kJ/mol of atoms
Spin magnetization: 0.00 μB/f.u.

=====

A plane-wave DFT calculation with PBE was carried out for a relaxed structure of Ca3PmPr3.

Cell and atoms, written as extended XYZ:
```
14
Lattice="-5.459 -0.344 -2.454 -1.454 -8.935 4.486 -2.663 8.520 4.731" Properties=species:S:1:pos:R:3 pbc="T T T"
Ca -7.265 -1.077 5.327
Ca -5.980 -7.039 3.304
Ca -4.967 1.249 7.213
Ca -4.609 -2.007 -0.450
Ca -3.596 6.281 3.459
Ca -2.311 0.318 1.436
Pm -3.625 2.616 4.036
Pm -5.951 -3.374 2.727
Pr -7.224 2.824 4.690
Pr -5.961 0.462 2.210
Pr -3.698 -4.805 5.237
Pr -5.878 4.046 1.525
Pr -3.616 -1.221 4.552
Pr -2.352 -3.582 2.072
```

Computed properties:
ΔE_f: 0.0438 eV/atom
Spin magnetization: 0.00 μB/f.u.

=====

A plane-wave DFT calculation with PBE was carried out for a relaxed structure of CaMoN3.

Cell and atoms, written as extended XYZ:
```
20
Lattice="10.896 0.000 0.879 4.340 5.826 -1.992 -4.340 5.826 1.992" Properties=species:S:1:pos:R:3 pbc="T T T"
Mo 6.002 4.163 1.655
Mo 4.894 7.488 -0.776
Mo 10.342 3.845 -0.337
Mo 0.554 7.806 1.216
Ca 2.536 4.638 0.090
Ca 2.912 10.463 0.350
Ca 8.360 7.013 0.790
Ca 7.984 1.188 0.529
N 4.899 5.659 0.758
N 7.105 5.659 2.552
N 5.997 5.992 0.121
N 3.791 5.992 -1.673
N 0.816 2.773 -0.262
N 4.632 8.598 0.701
N 10.080 8.878 1.141
N 6.265 3.053 0.178
N 6.952 10.678 0.511
N 9.392 4.852 0.807
N 3.944 0.973 0.368
N 1.504 6.799 0.072
```

Computed properties:
Energy relative to the elements, uncorrected: -41 kJ/mol of atoms
Spin magnetization: 0.32 μB/f.u.

=====

A plane-wave DFT calculation with PBE was carried out for a relaxed structure of Sn3Hg3Pb.

Cell and atoms, written as extended XYZ:
```
14
Lattice="-1.003 -4.145 -3.580 7.632 1.766 -4.182 -0.137 -5.785 6.735" Properties=species:S:1:pos:R:3 pbc="T T T"
Sn 5.431 -5.222 2.359
Sn -0.026 -5.619 4.347
Sn 1.200 -2.072 -0.103
Sn 1.061 -2.942 -3.386
Sn 6.518 -2.545 -5.374
Sn 5.292 -6.092 -0.924
Hg 3.152 -7.386 1.173
Hg -0.078 -6.561 1.123
Hg 2.028 -5.183 -1.063
Hg 3.340 -0.778 -2.200
Hg 6.570 -1.603 -2.150
Hg 4.464 -2.981 0.036
Pb 2.202 -4.304 2.201
Pb 4.290 -3.860 -3.228
```

Computed properties:
E above lowest polymorph: 0 meV/atom
ΔE_f: 0.0696 eV/atom
Spin magnetization: 0.00 μB/f.u.

=====

A plane-wave DFT calculation with PBE was carried out for a relaxed structure of SiSN2Cl.

Cell and atoms, written as extended XYZ:
```
5
Lattice="3.451 0.000 0.000 0.000 3.451 0.000 0.000 0.000 6.222" Properties=species:S:1:pos:R:3 pbc="T T T"
S 0.000 0.000 3.111
N 0.000 1.725 0.000
N 1.725 0.000 0.000
Si 0.000 0.000 0.000
Cl 1.725 1.725 3.111
```

Computed properties:
E above lowest polymorph: 0 meV/atom
Energy relative to the elements, uncorrected: 68 kJ/mol of atoms
Spin magnetization: 0.00 μB/f.u.